--- a ---
A plane-wave DFT calculation with PBE was carried out for Sc4TlC2 after structural relaxation.

Values from the calculation:
Magnetization = 0.0000 μB per atom

Cell lengths 3.3608, 3.3608, 39.9984 Å; angles 90.00, 90.00, 120.00 degrees
With the nearest neighbours (Å) after each atom.
Space group R-3m (No. 166, hexagonal axes)
One atom of each set of equivalent atoms:
Sc  0.0000  0.0000  0.1256 [6 per cell]  3 C 2.27
Sc  0.0000  0.0000  0.2688 [6 per cell]  3 C 2.31
Tl  0.0000  0.0000  0.0000 [3 per cell]  6 Sc 3.23, 6 Tl 3.36
C  0.0000  0.0000  0.4293 [6 per cell]  6 Sc 2.27-2.31

=====

--- b ---
A plane-wave DFT calculation with PBE was carried out for Sc4TlC2 after structural relaxation.

Values from the calculation:
Magnetization = 0.0000 μB per atom

Cell lengths 5.2898, 5.2898, 11.2503 Å; angles 90.00, 90.00, 90.00 degrees
With the nearest neighbours (Å) after each atom.
Space group I4/mmm (No. 139)
One atom of each set of equivalent atoms:
Sc  0.0000  0.0000  0.2437 [4 per cell]  1 C 2.08
Sc  0.0000  0.5000  0.0000 [4 per cell]  2 Tl 2.64, 4 C 2.73
Tl  0.0000  0.0000  0.5000 [2 per cell]  6 Sc 2.64-2.88
C  0.0000  0.0000  0.0590 [4 per cell]  1 C 1.33

=====

The winner here is a, beating the second structure by 704 meV per atom.